Record 1
# PBE-GGA Ca3SiO5, relaxed
# Volume = 14.03 A^3/atom
# N(E_F) = 0.00 states/eV per cell
# ΔE_f (raw) = -3023 meV/atom
data_Ca3SiO5
_cell_length_a 7.2486
_cell_length_b 7.2486
_cell_length_c 5.5501
_cell_angle_alpha 90.00
_cell_angle_beta 90.00
_cell_angle_gamma 120.00
_space_group_name_H-M_alt 'P 63 m c'
_space_group_IT_number 186
_space_group_name_Hall 'P 6c -2c'
loop_
_atom_site_label
_atom_site_fract_x
_atom_site_fract_y
_atom_site_fract_z
Ca1 0.1510 0.3021 0.0000
Si1 0.3333 0.6667 0.4672
O1 0.0000 0.0000 0.2586
O2 0.2093 0.4186 0.5669
O3 0.3333 0.6667 0.1659


Record 2
# PBE-GGA CaSiO5, relaxed
# Volume = 12.93 A^3/atom
# N(E_F) = 7.72 states/eV per cell
# ΔE_f (raw) = -1606 meV/atom
data_CaSiO5
_cell_length_a 5.841
_cell_length_b 11.646
_cell_length_c 5.553
_cell_angle_alpha 90.00
_cell_angle_beta 106.60
_cell_angle_gamma 90.00
_space_group_name_H-M_alt 'C 1 2/c 1'
_space_group_IT_number 15
loop_
_space_group_symop_operation_xyz
'x,y,z'
'-x,-y,-z'
'-x,y,-z+1/2'
'x,-y,z+1/2'
'x+1/2,y+1/2,z'
'-x+1/2,-y+1/2,-z'
'-x+1/2,y+1/2,-z+1/2'
'x+1/2,-y+1/2,z+1/2'
loop_
_atom_site_label
_atom_site_fract_x
_atom_site_fract_y
_atom_site_fract_z
Ca1 0.000 0.095 0.250
Si1 0.000 0.400 0.250
O1 0.000 0.268 0.750
O2 0.009 0.290 0.045
O3 0.245 0.467 0.365


Record 3
# PBE-GGA CaSiO3, relaxed
# Volume = 15.05 A^3/atom
# N(E_F) = 3.44 states/eV per cell
# ΔE_f (raw) = -234 meV/atom
data_CaSiO3
_cell_length_a 4.222
_cell_length_b 4.222
_cell_length_c 4.222
_cell_angle_alpha 90.00
_cell_angle_beta 90.00
_cell_angle_gamma 90.00
_space_group_name_H-M_alt 'P m -3 m'
_space_group_IT_number 221
_space_group_name_Hall '-P 4 2 3'
loop_
_atom_site_label
_atom_site_fract_x
_atom_site_fract_y
_atom_site_fract_z
Ca1 0.000 0.000 0.000
Si1 0.500 0.500 0.500
O1 0.000 0.000 0.500


Record 4
# PBE-GGA Ca2SiO4, relaxed
# Volume = 13.40 A^3/atom
# N(E_F) = 0.00 states/eV per cell
# ΔE_f (raw) = -3032 meV/atom
data_Ca2SiO4
_cell_length_a 7.060
_cell_length_b 5.403
_cell_length_c 9.833
_cell_angle_alpha 90.00
_cell_angle_beta 90.03
_cell_angle_gamma 90.00
_space_group_name_H-M_alt 'P 1 21/c 1'
_space_group_IT_number 14
loop_
_space_group_symop_operation_xyz
'x,y,z'
'-x,-y,-z'
'-x,y+1/2,-z+1/2'
'x,-y+1/2,z+1/2'
loop_
_atom_site_label
_atom_site_fract_x
_atom_site_fract_y
_atom_site_fract_z
Ca1 0.000 0.000 0.000
Ca2 0.249 0.009 0.654
Ca3 0.500 0.000 0.000
Si1 0.251 0.510 0.822
O1 0.061 0.646 0.882
O2 0.250 0.212 0.865
O3 0.250 0.553 0.653
O4 0.441 0.645 0.881


Record 5
# PBE-GGA CaSiO3, relaxed
# Volume = 9.39 A^3/atom
# N(E_F) = 0.00 states/eV per cell
# ΔE_f (raw) = -2786 meV/atom
data_CaSiO3
_cell_length_a 5.092
_cell_length_b 5.092
_cell_length_c 3.623
_cell_angle_alpha 90.00
_cell_angle_beta 90.00
_cell_angle_gamma 90.00
_space_group_name_H-M_alt 'P 4/m b m'
_space_group_IT_number 127
_space_group_name_Hall '-P 4 2ab'
loop_
_atom_site_label
_atom_site_fract_x
_atom_site_fract_y
_atom_site_fract_z
Ca1 0.000 0.500 0.000
Si1 0.000 0.000 0.500
O1 0.000 0.000 0.000
O2 0.233 0.267 0.500


Record 6
# PBE-GGA CaSiO3, relaxed
# Volume = 10.85 A^3/atom
# N(E_F) = 0.00 states/eV per cell
# ΔE_f (raw) = -2769 meV/atom
data_CaSiO3
_cell_length_a 4.9670
_cell_length_b 4.9670
_cell_length_c 15.2413
_cell_angle_alpha 90.00
_cell_angle_beta 90.00
_cell_angle_gamma 120.00
_space_group_name_H-M_alt 'R -3'
_space_group_IT_number 148
_space_group_name_Hall '-R 3'
loop_
_atom_site_label
_atom_site_fract_x
_atom_site_fract_y
_atom_site_fract_z
Ca1 0.0000 0.0000 0.1330
Si1 0.0000 0.0000 0.3382
O1 0.0060 0.6029 0.9324


Record 7
# PBE-GGA CaSi5O10, relaxed
# Volume = 19.73 A^3/atom
# ΔE_f (raw) = -2483 meV/atom
data_CaSi5O10
_cell_length_a 6.980
_cell_length_b 6.980
_cell_length_c 6.479
_cell_angle_alpha 90.00
_cell_angle_beta 90.00
_cell_angle_gamma 90.00
_space_group_name_H-M_alt 'P -4 m 2'
_space_group_IT_number 115
loop_
_space_group_symop_operation_xyz
'x,y,z'
'y,-x,-z'
'-x,-y,z'
'-y,x,-z'
'-x,y,z'
'-y,-x,-z'
'x,-y,z'
'y,x,-z'
loop_
_atom_site_label
_atom_site_fract_x
_atom_site_fract_y
_atom_site_fract_z
Ca1 0.000 0.000 0.000
Si1 0.231 0.500 0.381
Si2 0.500 0.500 0.000
O1 0.000 0.500 0.380
O2 0.308 0.308 0.500
O3 0.308 0.500 0.143


Record 8
# PBE-GGA Ca2SiO4, relaxed
# Volume = 13.97 A^3/atom
# N(E_F) = 0.00 states/eV per cell
# ΔE_f (raw) = -3024 meV/atom
data_Ca2SiO4
_cell_length_a 5.800
_cell_length_b 11.160
_cell_length_c 6.628
_cell_angle_alpha 90.00
_cell_angle_beta 114.21
_cell_angle_gamma 90.00
_space_group_name_H-M_alt 'C 1 2/c 1'
_space_group_IT_number 15
loop_
_space_group_symop_operation_xyz
'x,y,z'
'-x,-y,-z'
'-x,y,-z+1/2'
'x,-y,z+1/2'
'x+1/2,y+1/2,z'
'-x+1/2,-y+1/2,-z'
'-x+1/2,y+1/2,-z+1/2'
'x+1/2,-y+1/2,z+1/2'
loop_
_atom_site_label
_atom_site_fract_x
_atom_site_fract_y
_atom_site_fract_z
Ca1 0.000 0.094 0.250
Ca2 0.000 0.199 0.750
Si1 0.000 0.376 0.250
O1 0.047 0.283 0.074
O2 0.236 0.047 0.639


Record 9
# PBE-GGA Ca2SiO4, relaxed
# Volume = 13.44 A^3/atom
# N(E_F) = 0.00 states/eV per cell
# ΔE_f (raw) = -2990 meV/atom
data_Ca2SiO4
_cell_length_a 10.115
_cell_length_b 5.279
_cell_length_c 7.064
_cell_angle_alpha 90.00
_cell_angle_beta 94.09
_cell_angle_gamma 90.00
_space_group_name_H-M_alt 'C 1 2 1'
_space_group_IT_number 5
loop_
_space_group_symop_operation_xyz
'x,y,z'
'-x,y,-z'
'x+1/2,y+1/2,z'
'-x+1/2,y+1/2,-z'
loop_
_atom_site_label
_atom_site_fract_x
_atom_site_fract_y
_atom_site_fract_z
Ca1 0.000 0.000 0.000
Ca2 0.000 0.039 0.500
Ca3 0.160 0.489 0.203
Si1 0.172 0.508 0.715
O1 0.090 0.351 0.871
O2 0.131 0.809 0.747
O3 0.138 0.398 0.503
O4 0.166 0.964 0.229


Record 10
# PBE-GGA Ca2SiO4, relaxed
# Volume = 10.91 A^3/atom
# N(E_F) = 0.00 states/eV per cell
# ΔE_f (raw) = -2890 meV/atom
data_Ca2SiO4
_cell_length_a 3.608
_cell_length_b 3.608
_cell_length_c 11.732
_cell_angle_alpha 90.00
_cell_angle_beta 90.00
_cell_angle_gamma 90.00
_space_group_name_H-M_alt 'I 4/m m m'
_space_group_IT_number 139
_space_group_name_Hall '-I 4 2'
loop_
_atom_site_label
_atom_site_fract_x
_atom_site_fract_y
_atom_site_fract_z
Ca1 0.000 0.000 0.146
Si1 0.000 0.000 0.500
O1 0.000 0.000 0.345
O2 0.000 0.500 0.000


Record 11
# PBE-GGA Ca2SiO4, relaxed
# Volume = 14.12 A^3/atom
# N(E_F) = 0.00 states/eV per cell
# ΔE_f (raw) = -3079 meV/atom
data_Ca2SiO4
_cell_length_a 11.338
_cell_length_b 6.806
_cell_length_c 5.125
_cell_angle_alpha 90.00
_cell_angle_beta 90.00
_cell_angle_gamma 90.00
_space_group_name_H-M_alt 'P n m a'
_space_group_IT_number 62
loop_
_space_group_symop_operation_xyz
'x,y,z'
'-x,-y,-z'
'-x+1/2,-y,z+1/2'
'x+1/2,y,-z+1/2'
'x+1/2,-y+1/2,-z+1/2'
'-x+1/2,y+1/2,z+1/2'
'-x,y+1/2,-z'
'x,-y+1/2,z'
loop_
_atom_site_label
_atom_site_fract_x
_atom_site_fract_y
_atom_site_fract_z
Ca1 0.000 0.000 0.000
Ca2 0.219 0.250 0.491
Si1 0.096 0.750 0.427
O1 0.039 0.250 0.703
O2 0.093 0.750 0.747
O3 0.162 0.555 0.296


Record 12
# PBE-GGA CaSiO3, relaxed
# Volume = 13.00 A^3/atom
# N(E_F) = 0.00 states/eV per cell
# ΔE_f (raw) = -3007 meV/atom
data_CaSiO3
_cell_length_a 6.732
_cell_length_b 6.781
_cell_length_c 9.426
_cell_angle_alpha 69.23
_cell_angle_beta 83.74
_cell_angle_gamma 75.90
_space_group_name_H-M_alt 'P -1'
_space_group_IT_number 2
loop_
_space_group_symop_operation_xyz
'x,y,z'
'-x,-y,-z'
loop_
_atom_site_label
_atom_site_fract_x
_atom_site_fract_y
_atom_site_fract_z
Ca1 0.078 0.415 0.338
Ca2 0.236 0.257 0.999
Ca3 0.414 0.761 0.349
Si1 0.037 0.025 0.700
Si2 0.270 0.773 0.982
Si3 0.386 0.666 0.705
O1 0.049 0.726 0.402
O2 0.129 0.599 0.061
O3 0.134 0.005 0.863
O4 0.146 0.107 0.262
O5 0.236 0.907 0.614
O6 0.263 0.474 0.742
O7 0.389 0.841 0.091
O8 0.420 0.377 0.407
O9 0.450 0.691 0.863


Record 13
# PBE-GGA Ca3Si5O12, relaxed
# Volume = 11.07 A^3/atom
# N(E_F) = 46.11 states/eV per cell
# ΔE_f (raw) = -2542 meV/atom
data_Ca3Si5O12
_cell_length_a 12.098
_cell_length_b 12.098
_cell_length_c 12.098
_cell_angle_alpha 90.00
_cell_angle_beta 90.00
_cell_angle_gamma 90.00
_space_group_name_H-M_alt 'I a -3 d'
_space_group_IT_number 230
_space_group_name_Hall '-I 4bd 2c 3'
loop_
_atom_site_label
_atom_site_fract_x
_atom_site_fract_y
_atom_site_fract_z
Ca1 0.000 0.250 0.125
Si1 0.000 0.000 0.000
Si2 0.000 0.250 0.375
O1 0.038 0.047 0.652